# 1
{
  "formula": "Zn3CoP",
  "functional": "PBE-GGA",
  "state": "relaxed",
  "lattice_angstrom": [[4.539, 0.000, 0.000], [0.000, 4.539, 0.000], [0.000, 0.000, 4.539]],
  "species": ["Zn", "Zn", "Zn", "Co", "P"],
  "fractional_positions": [[0.000, 0.000, 0.500], [0.000, 0.500, 0.000], [0.500, 0.000, 0.000], [0.500, 0.500, 0.500], [0.000, 0.000, 0.000]],
  "density_g_cm3": 5.08,
  "delta_e_f_ev_per_atom": 0.92,
  "sg": "Pm-3m (221)"
}

---

# 2
{
  "formula": "NaTlTe3",
  "functional": "PBE-GGA",
  "state": "relaxed",
  "lattice_angstrom": [[5.147, 0.000, 0.000], [0.000, 5.506, 0.000], [-0.569, 0.000, 13.296]],
  "species": ["Na", "Na", "Tl", "Tl", "Te", "Te", "Te", "Te", "Te", "Te"],
  "fractional_positions": [[0.238, 0.250, 0.064], [0.762, 0.750, 0.936], [0.437, 0.750, 0.350], [0.563, 0.250, 0.650], [0.064, 0.250, 0.472], [0.076, 0.250, 0.836], [0.259, 0.750, 0.803], [0.741, 0.250, 0.197], [0.924, 0.750, 0.164], [0.936, 0.750, 0.528]],
  "density_g_cm3": 5.38,
  "formation_energy_uncorrected_kj_per_mol_atoms": -29,
  "sg": "P2_1/m (11)"
}